Entry 1:
Material: LiZrIn
Method: DFT, GGA-PBEsol
State: optimized geometry

**DFT total energy**: -4.857 eV per atom
**Energy relative to the elements**: -0.5 eV per formula unit

Unit cell a=4.6429 b=4.6429 c=3.1492 alpha=90.00 beta=90.00 gamma=120.00
With the nearest neighbours (Å) after each atom.
Element x y z (fractional)
1 Li 0.0000 0.0000 0.0000  3 In 2.68
2 Zr 0.3333 0.6667 0.5000  6 Li 3.11, 6 In 3.11, 2 Zr 3.15
3 In 0.6667 0.3333 0.0000  3 Li 2.68

Entry 2:
Material: MnCuMo2
Method: DFT, GGA-PBEsol
State: optimized geometry

**DFT total energy**: -9.103 eV per atom
**Energy relative to the elements**: 1.2 eV per formula unit

Unit cell a=4.8591 b=4.8591 c=4.8591 alpha=142.51 beta=129.64 gamma=64.44
With the nearest neighbours (Å) after each atom.
Element x y z (fractional)
1 Mn 0.0000 0.0000 0.0000  6 Mo 2.45-2.60, 2 Cu 2.59
2 Cu 0.7492 0.2492 0.5000  2 Mn 2.59, 8 Mo 2.60-2.81
3 Mo 0.2292 0.7292 0.5000  2 Mn 2.45, 2 Mo 2.59, 4 Cu 2.60
4 Mo 0.4802 0.4802 0.0000  2 Mo 2.59, 4 Mn 2.60, 4 Cu 2.71-2.81

Entry 3:
Material: Mg30AlNiO32
Method: DFT, GGA-PBEsol
State: optimized geometry

**DFT total energy**: -6.256 eV per atom
**Raw formation energy**: -2666 meV per atom

Unit cell a=8.4378 b=8.4378 c=8.4103 alpha=90.00 beta=90.00 gamma=90.00
With the nearest neighbours (Å) after each atom.
Element x y z (fractional)
1 Mg 0.0000 0.0000 0.0000  6 O 2.04-2.12
2 Mg 0.0000 0.2469 0.2528  6 O 2.08-2.14
3 Mg 0.0000 0.2469 0.7472  6 O 2.08-2.14
4 Mg 0.0000 0.5000 0.0000  6 O 2.10-2.14
5 Mg 0.0000 0.5000 0.5000  4 O 1.98-2.10
6 Mg 0.0000 0.7531 0.2528  6 O 2.08-2.14
7 Mg 0.0000 0.7531 0.7472  6 O 2.08-2.14
8 Mg 0.2460 0.2460 0.5000  6 O 2.08-2.15
9 Mg 0.2460 0.7540 0.5000  6 O 2.08-2.15
10 Mg 0.2469 0.0000 0.2528  6 O 2.08-2.14
11 Mg 0.2469 0.0000 0.7472  6 O 2.08-2.14
12 Mg 0.2485 0.5000 0.2500  6 O 2.10-2.13
13 Mg 0.2485 0.5000 0.7500  6 O 2.10-2.13
14 Mg 0.2487 0.2487 0.0000  6 O 2.10-2.12
15 Mg 0.2487 0.7513 0.0000  6 O 2.10-2.12
16 Mg 0.5000 0.0000 0.0000  6 O 2.10-2.14
17 Mg 0.5000 0.0000 0.5000  4 O 1.98-2.10
18 Mg 0.5000 0.2485 0.2500  6 O 2.10-2.13
19 Mg 0.5000 0.2485 0.7500  6 O 2.10-2.13
20 Mg 0.5000 0.5000 0.0000  6 O 2.08-2.22
21 Mg 0.5000 0.7515 0.2500  6 O 2.10-2.13
22 Mg 0.5000 0.7515 0.7500  6 O 2.10-2.13
23 Mg 0.7513 0.2487 0.0000  6 O 2.10-2.12
24 Mg 0.7513 0.7513 0.0000  6 O 2.10-2.12
25 Mg 0.7515 0.5000 0.2500  6 O 2.10-2.13
26 Mg 0.7515 0.5000 0.7500  6 O 2.10-2.13
27 Mg 0.7531 0.0000 0.2528  6 O 2.08-2.14
28 Mg 0.7531 0.0000 0.7472  6 O 2.08-2.14
29 Mg 0.7540 0.2460 0.5000  6 O 2.08-2.15
30 Mg 0.7540 0.7540 0.5000  6 O 2.08-2.15
31 Al 0.5000 0.5000 0.5000  6 O 1.96-1.99
32 Ni 0.0000 0.0000 0.5000  6 O 2.17-2.24
33 O 0.0000 0.0000 0.2425  5 Mg 2.04-2.09, 1 Ni 2.17
34 O 0.0000 0.0000 0.7575  5 Mg 2.04-2.09, 1 Ni 2.17
35 O 0.0000 0.2517 0.0000  6 Mg 2.10-2.13
36 O 0.0000 0.2651 0.5000  5 Mg 1.98-2.08
37 O 0.0000 0.5000 0.2501  6 Mg 2.10-2.14
38 O 0.0000 0.5000 0.7499  6 Mg 2.10-2.14
39 O 0.0000 0.7349 0.5000  5 Mg 1.98-2.08
40 O 0.0000 0.7483 0.0000  6 Mg 2.10-2.13
41 O 0.2505 0.2505 0.2505  6 Mg 2.10-2.11
42 O 0.2505 0.2505 0.7495  6 Mg 2.10-2.11
43 O 0.2505 0.7495 0.2505  6 Mg 2.10-2.11
44 O 0.2505 0.7495 0.7495  6 Mg 2.10-2.11
45 O 0.2517 0.0000 0.0000  6 Mg 2.10-2.13
46 O 0.2530 0.5000 0.0000  6 Mg 2.08-2.14
47 O 0.2651 0.0000 0.5000  5 Mg 1.98-2.08
48 O 0.2673 0.5000 0.5000  1 Al 1.96, 4 Mg 2.11-2.15
49 O 0.5000 0.0000 0.2501  6 Mg 2.10-2.14
50 O 0.5000 0.0000 0.7499  6 Mg 2.10-2.14
51 O 0.5000 0.2530 0.0000  6 Mg 2.08-2.14
52 O 0.5000 0.2673 0.5000  1 Al 1.96, 4 Mg 2.11-2.15
53 O 0.5000 0.5000 0.2636  1 Al 1.99, 5 Mg 2.13-2.22
54 O 0.5000 0.5000 0.7364  1 Al 1.99, 5 Mg 2.13-2.22
55 O 0.5000 0.7327 0.5000  1 Al 1.96, 4 Mg 2.11-2.15
56 O 0.5000 0.7470 0.0000  6 Mg 2.08-2.14
57 O 0.7327 0.5000 0.5000  1 Al 1.96, 4 Mg 2.11-2.15
58 O 0.7349 0.0000 0.5000  5 Mg 1.98-2.08
59 O 0.7470 0.5000 0.0000  6 Mg 2.08-2.14
60 O 0.7483 0.0000 0.0000  6 Mg 2.10-2.13
61 O 0.7495 0.2505 0.2505  6 Mg 2.10-2.11
62 O 0.7495 0.2505 0.7495  6 Mg 2.10-2.11
63 O 0.7495 0.7495 0.2505  6 Mg 2.10-2.11
64 O 0.7495 0.7495 0.7495  6 Mg 2.10-2.11

Entry 4:
Material: CrCoSb2
Method: DFT, GGA-PBEsol
State: optimized geometry

**DFT total energy**: -6.389 eV per atom
**Raw formation energy**: 385 meV per atom

Unit cell a=4.4746 b=4.4746 c=4.4746 alpha=60.00 beta=60.00 gamma=60.00
With the nearest neighbours (Å) after each atom.
Element x y z (fractional)
1 Cr 0.0000 0.0000 0.0000  8 Sb 2.74
2 Co 0.5000 0.5000 0.5000  8 Sb 2.74
3 Sb 0.2500 0.2500 0.2500  4 Cr 2.74, 4 Co 2.74
4 Sb 0.7500 0.7500 0.7500  4 Cr 2.74, 4 Co 2.74

Entry 5:
Material: Mg2Zn
Method: DFT, GGA-PBEsol
State: optimized geometry

**DFT total energy**: -1.661 eV per atom
**Energy relative to the elements**: 0.0 eV per formula unit

Unit cell a=3.0871 b=3.0871 c=14.0799 alpha=90.00 beta=90.00 gamma=120.00
With the nearest neighbours (Å) after each atom.
Element x y z (fractional)
1 Mg 0.0000 0.0000 0.0000  6 Zn 2.85, 6 Mg 3.09
2 Mg 0.0000 0.0000 0.3138  3 Zn 2.83, 9 Mg 3.09-3.17
3 Mg 0.0000 0.0000 0.6862  3 Zn 2.83, 9 Mg 3.09-3.17
4 Mg 0.6667 0.3333 0.5000  12 Mg 3.09-3.17
5 Zn 0.6667 0.3333 0.1575  6 Mg 2.83-2.85, 6 Zn 3.09
6 Zn 0.6667 0.3333 0.8425  6 Mg 2.83-2.85, 6 Zn 3.09

Entry 6:
Material: HgTeBr2
Method: DFT, GGA-PBEsol
State: optimized geometry

**DFT total energy**: -1.890 eV per atom
**Raw formation energy**: 69 meV per atom
**E above lowest polymorph**: 12.0 kJ/mol of atoms

Unit cell a=3.5861 b=3.5861 c=8.0777 alpha=90.00 beta=90.00 gamma=90.00
With the nearest neighbours (Å) after each atom.
Element x y z (fractional)
1 Hg 0.0000 0.0000 0.0000  4 Br 2.98, 4 Te 3.20
2 Te 0.5000 0.5000 0.2419  4 Br 3.14, 4 Hg 3.20
3 Br 0.0000 0.0000 0.4702  4 Te 3.14
4 Br 0.5000 0.5000 0.8057  4 Hg 2.98

Entry 7:
Material: ScBeCd2
Method: DFT, GGA-PBEsol
State: optimized geometry

**DFT total energy**: -3.214 eV per atom
**E above lowest polymorph**: 3.9 kJ/mol of atoms
**Energy relative to the elements**: 0.1 eV per formula unit

Unit cell a=4.0313 b=4.1309 c=4.3416 alpha=90.00 beta=90.00 gamma=90.00
With the nearest neighbours (Å) after each atom.
Element x y z (fractional)
1 Sc 0.0000 0.0000 0.0000  4 Be 2.89, 8 Cd 2.96-3.00
2 Be 0.5000 0.5000 0.0000  4 Sc 2.89, 8 Cd 2.96-3.00
3 Cd 0.0000 0.5000 0.5000  4 Cd 2.89, 4 Be 2.96, 4 Sc 3.00
4 Cd 0.5000 0.0000 0.5000  4 Cd 2.89, 4 Sc 2.96, 4 Be 3.00

Entry 8:
Material: BaSr2CaIr
Method: DFT, GGA-PBEsol
State: optimized geometry

**DFT total energy**: -3.578 eV per atom
**Energy relative to the elements**: -0.1 eV per formula unit

Unit cell a=5.8767 b=5.8767 c=6.0422 alpha=90.00 beta=90.00 gamma=90.00
With the nearest neighbours (Å) after each atom.
Element x y z (fractional)
1 Ba 0.0000 0.0000 0.0000  2 Ir 3.02
2 Sr 0.0000 0.5000 0.5000  2 Ir 2.94
3 Sr 0.5000 0.0000 0.5000  2 Ir 2.94
4 Ca 0.5000 0.5000 0.0000  4 Ba 4.16, 8 Sr 4.21
5 Ir 0.0000 0.0000 0.5000  4 Sr 2.94, 2 Ba 3.02

Entry 9:
Material: NaCaIn2Ni
Method: DFT, GGA-PBEsol
State: optimized geometry

**DFT total energy**: -1.836 eV per atom
**Energy relative to the elements**: 6.5 eV per formula unit

Unit cell a=5.7005 b=5.7005 c=5.5414 alpha=90.00 beta=90.00 gamma=90.00
With the nearest neighbours (Å) after each atom.
Element x y z (fractional)
1 Na 0.0000 0.0000 0.0000  2 Ca 2.77
2 Ca 0.0000 0.0000 0.5000  2 Na 2.77, 4 In 2.85
3 In 0.0000 0.5000 0.5000  2 Ca 2.85
4 In 0.5000 0.0000 0.5000  2 Ca 2.85
5 Ni 0.5000 0.5000 0.0000  8 In 3.98, 4 Na 4.03

Entry 10:
Material: NbBP2O
Method: DFT, GGA-PBEsol
State: optimized geometry

**DFT total energy**: -6.346 eV per atom
**Raw formation energy**: 588 meV per atom

Unit cell a=4.8593 b=4.8593 c=3.8346 alpha=90.00 beta=90.00 gamma=90.00
With the nearest neighbours (Å) after each atom.
Element x y z (fractional)
1 Nb 0.0000 0.0000 0.0000  2 O 1.92
2 B 0.5000 0.5000 0.5000  8 P 3.10, 4 O 3.44
3 P 0.0000 0.5000 0.0000  2 Nb 2.43
4 P 0.5000 0.0000 0.0000  2 Nb 2.43
5 O 0.0000 0.0000 0.5000  2 Nb 1.92

Entry 11:
Material: ZrInTc2
Method: DFT, GGA-PBEsol
State: optimized geometry

**DFT total energy**: -8.734 eV per atom
**E above lowest polymorph**: 4.8 kJ/mol of atoms
**Energy relative to the elements**: -0.3 eV per formula unit

Unit cell a=5.4377 b=5.4377 c=5.4377 alpha=145.34 beta=131.54 gamma=60.94
With the nearest neighbours (Å) after each atom.
Element x y z (fractional)
1 Zr 0.0000 0.0000 0.0000  6 Tc 2.77-2.84, 4 In 3.04-3.08
2 In 0.7258 0.2258 0.5000  6 Tc 2.77-2.87, 4 Zr 3.04-3.08
3 Tc 0.2495 0.7495 0.5000  2 Tc 2.65, 4 In 2.77, 2 Zr 2.84
4 Tc 0.4728 0.4728 0.0000  2 Tc 2.65, 4 Zr 2.77, 2 In 2.87

Entry 12:
Material: NbAuS3
Method: DFT, GGA-PBEsol
State: optimized geometry

**DFT total energy**: -4.773 eV per atom
**Raw formation energy**: 807 meV per atom

Unit cell a=4.6717 b=4.6717 c=4.6717 alpha=90.00 beta=90.00 gamma=90.00
With the nearest neighbours (Å) after each atom.
Element x y z (fractional)
1 Nb 0.0000 0.0000 0.0000  12 S 3.30
2 Au 0.5000 0.5000 0.5000  6 S 2.34
3 S 0.0000 0.5000 0.5000  2 Au 2.34
4 S 0.5000 0.0000 0.5000  2 Au 2.34
5 S 0.5000 0.5000 0.0000  2 Au 2.34

Which value of DFT total energy does entry 10 give? -6.346 eV per atom